Record 1
Li3H4Rh | GGA-PBEsol | relaxed

Results
V: 9.0 A^3/atom
DFT total energy: -3.83 eV per atom
Symmetry: Cmcm
Fermi-level density of states: 0.008 states/eV per atom

a b c (Å): 3.728 4.805 8.683
angles (deg): 90.00 90.00 112.83
Fractional positions:
H  0.062  0.124  0.378
H  0.938  0.876  0.622
H  0.062  0.124  0.122
H  0.938  0.876  0.878
H  0.331  0.661  0.111
H  0.669  0.339  0.889
H  0.331  0.661  0.389
H  0.669  0.339  0.611
Rh  0.201  0.402  0.250
Rh  0.799  0.598  0.750
Li  0.835  0.671  0.071
Li  0.165  0.329  0.929
Li  0.835  0.671  0.429
Li  0.165  0.329  0.571
Li  0.509  0.017  0.250
Li  0.491  0.983  0.750

Record 2
Li4H4Rh | GGA-PBEsol | relaxed

Results
V: 8.6 A^3/atom
DFT total energy: -3.68 eV per atom
Symmetry: I4/m
Fermi-level density of states: 0.136 states/eV per atom

a b c (Å): 4.017 4.838 4.838
angles (deg): 80.07 65.47 65.47
Fractional positions:
H  0.933  0.802  0.332
H  0.067  0.198  0.668
H  0.265  0.668  0.802
H  0.735  0.332  0.198
Rh  0.000  0.000  0.000
Li  0.612  0.169  0.606
Li  0.388  0.831  0.394
Li  0.218  0.394  0.169
Li  0.782  0.606  0.831

Record 3
LiH2Rh2 | GGA-PBEsol | relaxed

Results
V: 9.3 A^3/atom
DFT total energy: -5.01 eV per atom
Symmetry: I4/mmm
Fermi-level density of states: 0.798 states/eV per atom

a b c (Å): 3.391 3.391 4.698
angles (deg): 111.16 111.16 90.00
Fractional positions:
H  0.250  0.750  0.500
H  0.750  0.250  0.500
Rh  0.339  0.339  0.678
Rh  0.661  0.661  0.322
Li  0.000  0.000  0.000

Record 4
LiSnH2Rh | GGA-PBEsol | relaxed

Results
V: 13.3 A^3/atom
DFT total energy: -3.75 eV per atom
Symmetry: P4/mmm
Fermi-level density of states: 0.393 states/eV per atom

a b c (Å): 3.614 3.614 5.078
angles (deg): 90.00 90.00 90.00
Fractional positions:
H  0.000  0.500  0.000
H  0.500  0.000  0.000
Rh  0.000  0.000  0.500
Sn  0.500  0.500  0.500
Li  0.000  0.000  0.000

Record 5
Li4H6Ru | GGA-PBEsol | relaxed

Results
V: 8.3 A^3/atom
DFT total energy: -3.88 eV per atom
Symmetry: R-3c
Fermi-level density of states: 0.000 states/eV per atom

a b c (Å): 5.675 5.675 5.675
angles (deg): 89.95 89.95 89.95
Each line ends with the local moment (μB).
Fractional positions:
Ru  0.500  0.500  0.500  -0.07
Ru  0.000  0.000  0.000  -0.07
H  0.550  0.440  0.210  0.00
H  0.210  0.550  0.440  0.00
H  0.440  0.210  0.550  0.00
H  0.050  0.710  0.940  0.00
H  0.940  0.050  0.710  0.00
H  0.710  0.940  0.050  0.00
H  0.450  0.560  0.790  0.00
H  0.790  0.450  0.560  0.00
H  0.560  0.790  0.450  0.00
H  0.950  0.290  0.060  0.00
H  0.060  0.950  0.290  0.00
H  0.290  0.060  0.950  0.00
Li  0.250  0.250  0.250  0.00
Li  0.750  0.750  0.750  0.00
Li  0.628  0.250  0.872  0.00
Li  0.872  0.628  0.250  0.00
Li  0.250  0.872  0.628  0.00
Li  0.128  0.372  0.750  0.00
Li  0.750  0.128  0.372  0.00
Li  0.372  0.750  0.128  0.00

Record 6
Li3HS | GGA-PBEsol | relaxed

Results
V: 10.6 A^3/atom
DFT total energy: -3.66 eV per atom
Symmetry: Pm-3m
Fermi-level density of states: 0.000 states/eV per atom

a b c (Å): 3.762 3.762 3.762
angles (deg): 90.00 90.00 90.00
Fractional positions:
H  0.000  0.000  0.000
S  0.500  0.500  0.500
Li  0.000  0.500  0.000
Li  0.000  0.000  0.500
Li  0.500  0.000  0.000

Record 7
Li2HS | GGA-PBEsol | relaxed

Results
V: 11.3 A^3/atom
DFT total energy: -3.43 eV per atom
Symmetry: Fm-3m
Fermi-level density of states: 0.282 states/eV per atom

a b c (Å): 4.004 4.004 4.004
angles (deg): 60.00 60.00 60.00
Each line ends with the local moment (μB).
Fractional positions:
H  0.000  0.000  0.000  0.12
S  0.500  0.500  0.500  0.12
Li  0.250  0.250  0.250  0.00
Li  0.750  0.750  0.750  0.00

Record 8
LiSbHSe2 | GGA-PBEsol | relaxed

Results
V: 18.3 A^3/atom
DFT total energy: -3.44 eV per atom
Symmetry: P4/mmm
Fermi-level density of states: 0.520 states/eV per atom

a b c (Å): 3.866 4.861 4.861
angles (deg): 90.00 90.00 90.00
Fractional positions:
Sb  0.500  0.000  0.000
Li  0.500  0.500  0.500
Se  0.000  0.000  0.500
Se  0.000  0.500  0.000
H  0.000  0.000  0.000

Record 9
LiSi3H | GGA-PBEsol | relaxed

Results
V: 15.3 A^3/atom
DFT total energy: -3.30 eV per atom
Symmetry: Pm-3m
Fermi-level density of states: 0.403 states/eV per atom

a b c (Å): 4.244 4.244 4.244
angles (deg): 90.00 90.00 90.00
Fractional positions:
H  0.500  0.500  0.500
Si  0.000  0.500  0.000
Si  0.000  0.000  0.500
Si  0.500  0.000  0.000
Li  0.000  0.000  0.000

Record 10
LiTiSi2H | GGA-PBEsol | relaxed

Results
V: 11.2 A^3/atom
DFT total energy: -5.17 eV per atom
Symmetry: P4/mmm
Fermi-level density of states: 0.310 states/eV per atom

a b c (Å): 3.657 3.910 3.910
angles (deg): 90.00 90.00 90.00
Fractional positions:
H  0.000  0.000  0.000
Si  0.000  0.000  0.500
Si  0.000  0.500  0.000
Ti  0.500  0.500  0.500
Li  0.500  0.000  0.000

Record 11
Li2SnH | GGA-PBEsol | relaxed

Results
Relative energy among the computed polymorphs: 0 meV/atom
V: 15.1 A^3/atom
DFT total energy: -3.14 eV per atom
Symmetry: I-42d
Fermi-level density of states: 0.180 states/eV per atom

a b c (Å): 5.546 5.546 5.546
angles (deg): 90.46 119.74 119.74
Fractional positions:
H  0.500  0.250  0.750
H  0.000  0.500  0.500
Sn  0.500  0.750  0.250
Sn  0.000  0.000  0.000
Li  0.782  0.407  0.125
Li  0.218  0.343  0.625
Li  0.282  0.875  0.657
Li  0.718  0.375  0.593

Record 12
Li2SnH | GGA-PBEsol | relaxed

Results
Relative energy among the computed polymorphs: 517 meV/atom
V: 15.7 A^3/atom
DFT total energy: -2.62 eV per atom
Symmetry: Fm-3m
Fermi-level density of states: 0.394 states/eV per atom

a b c (Å): 4.463 4.463 4.463
angles (deg): 60.00 60.00 60.00
Fractional positions:
H  0.000  0.000  0.000
Sn  0.500  0.500  0.500
Li  0.250  0.250  0.250
Li  0.750  0.750  0.750

Record 13
Li2ZrSnH | GGA-PBEsol | relaxed

Results
V: 14.9 A^3/atom
DFT total energy: -4.56 eV per atom
Symmetry: P4/mmm
Fermi-level density of states: 0.378 states/eV per atom

a b c (Å): 4.140 4.140 4.333
angles (deg): 90.00 90.00 90.00
Fractional positions:
H  0.000  0.000  0.000
Sn  0.500  0.500  0.500
Zr  0.000  0.000  0.500
Li  0.000  0.500  0.000
Li  0.500  0.000  0.000

Record 14
Sr3LiH | GGA-PBEsol | relaxed

Results
V: 33.2 A^3/atom
DFT total energy: -2.26 eV per atom
Symmetry: Pm-3m
Fermi-level density of states: 0.569 states/eV per atom

a b c (Å): 5.495 5.495 5.495
angles (deg): 90.00 90.00 90.00
Fractional positions:
Sr  0.000  0.500  0.000
Sr  0.000  0.000  0.500
Sr  0.500  0.000  0.000
Li  0.500  0.500  0.500
H  0.000  0.000  0.000

Record 15
SrLiTcH2 | GGA-PBEsol | relaxed

Results
V: 15.5 A^3/atom
DFT total energy: -3.45 eV per atom
Symmetry: P4/mmm
Fermi-level density of states: 0.700 states/eV per atom

a b c (Å): 3.879 3.879 5.139
angles (deg): 90.00 90.00 90.00
Each line ends with the local moment (μB).
Fractional positions:
Sr  0.000  0.000  0.500  -0.01
Tc  0.000  0.000  0.000  0.39
H  0.000  0.500  0.000  0.00
H  0.500  0.000  0.000  0.00
Li  0.500  0.500  0.500  0.00

Record 16
SrLiZrH2 | GGA-PBEsol | relaxed

Results
V: 21.0 A^3/atom
DFT total energy: -3.09 eV per atom
Symmetry: P4/mmm
Fermi-level density of states: 0.630 states/eV per atom

a b c (Å): 4.302 4.302 5.675
angles (deg): 90.00 90.00 90.00
Each line ends with the local moment (μB).
Fractional positions:
Sr  0.000  0.000  0.000  0.07
H  0.000  0.500  0.000  -0.01
H  0.500  0.000  0.000  -0.01
Zr  0.500  0.500  0.500  1.25
Li  0.000  0.000  0.500  0.06

Record 17
Li2TcH | GGA-PBEsol | relaxed

Results
V: 9.7 A^3/atom
DFT total energy: -4.06 eV per atom
Symmetry: Fd-3m
Fermi-level density of states: 0.115 states/eV per atom

a b c (Å): 4.785 4.785 4.785
angles (deg): 60.00 60.00 60.00
Fractional positions:
H  0.500  0.500  0.500
H  0.750  0.750  0.750
Tc  0.000  0.000  0.000
Tc  0.250  0.250  0.250
Li  0.625  0.125  0.625
Li  0.125  0.625  0.625
Li  0.625  0.625  0.125
Li  0.625  0.625  0.625

Record 18
Li3TeH | GGA-PBEsol | relaxed

Results
V: 14.3 A^3/atom
DFT total energy: -3.34 eV per atom
Symmetry: Pm-3m
Fermi-level density of states: 0.000 states/eV per atom

a b c (Å): 4.146 4.146 4.146
angles (deg): 90.00 90.00 90.00
Fractional positions:
H  0.000  0.000  0.000
Te  0.500  0.500  0.500
Li  0.000  0.500  0.000
Li  0.000  0.000  0.500
Li  0.500  0.000  0.000

Record 19
Li2TlH2 | GGA-PBEsol | relaxed

Results
V: 12.6 A^3/atom
DFT total energy: -2.78 eV per atom
Symmetry: I4/mmm
Fermi-level density of states: 0.290 states/eV per atom

a b c (Å): 3.514 3.514 5.664
angles (deg): 108.07 108.07 90.00
Fractional positions:
H  0.250  0.750  0.500
H  0.750  0.250  0.500
Tl  0.000  0.000  0.000
Li  0.308  0.308  0.615
Li  0.692  0.692  0.385

Record 20
Li3TlH | GGA-PBEsol | relaxed

Results
V: 14.0 A^3/atom
DFT total energy: -2.63 eV per atom
Symmetry: Pm-3m
Fermi-level density of states: 0.356 states/eV per atom

a b c (Å): 4.118 4.118 4.118
angles (deg): 90.00 90.00 90.00
Fractional positions:
H  0.000  0.000  0.000
Tl  0.500  0.500  0.500
Li  0.000  0.500  0.000
Li  0.000  0.000  0.500
Li  0.500  0.000  0.000

Record 21
LiTl3H | GGA-PBEsol | relaxed

Results
V: 22.0 A^3/atom
DFT total energy: -2.49 eV per atom
Symmetry: Pm-3m
Fermi-level density of states: 0.468 states/eV per atom

a b c (Å): 4.793 4.793 4.793
angles (deg): 90.00 90.00 90.00
Fractional positions:
H  0.000  0.000  0.000
Tl  0.000  0.500  0.000
Tl  0.000  0.000  0.500
Tl  0.500  0.000  0.000
Li  0.500  0.500  0.500

Record 22
Li2TlH | GGA-PBEsol | relaxed

Results
V: 14.9 A^3/atom
DFT total energy: -2.72 eV per atom
Symmetry: I-42d
Fermi-level density of states: 0.098 states/eV per atom

a b c (Å): 5.514 5.514 5.514
angles (deg): 89.28 60.42 119.58
Fractional positions:
H  0.000  0.500  0.500
H  0.500  0.750  0.750
Tl  0.000  0.000  0.000
Tl  0.500  0.250  0.250
Li  0.201  0.576  0.125
Li  0.799  0.674  0.625
Li  0.299  0.625  0.576
Li  0.701  0.125  0.674

Record 23
LiHW2 | GGA-PBEsol | relaxed

Results
V: 15.1 A^3/atom
DFT total energy: -7.24 eV per atom
Symmetry: Fd-3m
Fermi-level density of states: 0.778 states/eV per atom

a b c (Å): 5.549 5.549 5.549
angles (deg): 60.00 60.00 60.00
Fractional positions:
H  0.750  0.750  0.750
H  0.500  0.500  0.500
W  0.625  0.625  0.125
W  0.625  0.625  0.625
W  0.125  0.625  0.625
W  0.625  0.125  0.625
Li  0.250  0.250  0.250
Li  0.000  0.000  0.000

Record 24
LiZr3H | GGA-PBEsol | relaxed

Results
V: 16.9 A^3/atom
DFT total energy: -6.52 eV per atom
Symmetry: Pm-3m
Fermi-level density of states: 0.929 states/eV per atom

a b c (Å): 4.388 4.388 4.388
angles (deg): 90.00 90.00 90.00
Fractional positions:
H  0.000  0.000  0.000
Zr  0.000  0.500  0.000
Zr  0.000  0.000  0.500
Zr  0.500  0.000  0.000
Li  0.500  0.500  0.500